K2Sc2P2WO12 | PBE+U | optimized geometry

## Properties
Calculated total energy ... -7.470 eV per atom
DOS at the Fermi energy ... 0.000 states/eV/cell

Cell: 10.4067 10.4217 10.5475 Å, 90.12 90.71 90.45°
Closest atoms and distances in Å follow each position.
Space group P1 (No. 1)
One atom of each set of equivalent atoms:
1 K 0.0000 0.0000 0.0000 (multiplicity 1)  4 O 2.65-2.95
2 K 0.0794 0.4944 0.6161 (multiplicity 1)  3 O 2.69-2.97
3 K 0.1843 0.7682 0.2504 (multiplicity 1)  7 O 2.83-3.16
4 K 0.3256 0.1454 0.7122 (multiplicity 1)  7 O 2.79-3.10
5 K 0.4595 0.4083 0.0980 (multiplicity 1)  3 O 2.81-2.92
6 K 0.5909 0.9325 0.4940 (multiplicity 1)  5 O 2.86-3.14
7 K 0.7170 0.6019 0.8554 (multiplicity 1)  6 O 2.80-3.13
8 K 0.8649 0.2674 0.3697 (multiplicity 1)  6 O 2.82-3.08
9 Sc 0.1227 0.3530 0.9374 (multiplicity 1)  6 O 2.08-2.21
10 Sc 0.1809 0.1256 0.4009 (multiplicity 1)  6 O 2.10-2.16
11 Sc 0.3584 0.7590 0.8701 (multiplicity 1)  5 O 1.95-2.17
12 Sc 0.4059 0.5646 0.4539 (multiplicity 1)  6 O 2.06-2.22
13 Sc 0.6495 0.0938 0.1718 (multiplicity 1)  5 O 2.01-2.20
14 Sc 0.6762 0.2707 0.7103 (multiplicity 1)  6 O 2.06-2.17
15 Sc 0.8823 0.6211 0.1881 (multiplicity 1)  6 O 2.07-2.22
16 Sc 0.9466 0.8453 0.6547 (multiplicity 1)  6 O 2.04-2.20
17 P 0.0416 0.6603 0.9118 (multiplicity 1)  4 O 1.54-1.55
18 P 0.1532 0.4335 0.2558 (multiplicity 1)  4 O 1.55-1.57
19 P 0.2563 0.8374 0.5723 (multiplicity 1)  4 O 1.55-1.56
20 P 0.3971 0.4655 0.7559 (multiplicity 1)  4 O 1.54-1.56
21 P 0.5014 0.2519 0.4321 (multiplicity 1)  4 O 1.55-1.56
22 P 0.8157 0.3347 0.0223 (multiplicity 1)  4 O 1.55-1.56
23 P 0.9015 0.9336 0.3431 (multiplicity 1)  4 O 1.55-1.57
24 P 0.9967 0.1574 0.6811 (multiplicity 1)  4 O 1.55-1.56
25 W 0.3300 0.0681 0.0741 (multiplicity 1)  4 O 1.81-1.83
26 W 0.5429 0.7501 0.1584 (multiplicity 1)  4 O 1.79-1.84
27 W 0.6602 0.9650 0.8555 (multiplicity 1)  4 O 1.80-1.81
28 W 0.7359 0.5652 0.5113 (multiplicity 1)  4 O 1.80-1.82
29 O 0.0063 0.6905 0.0511 (multiplicity 1)  1 P 1.55
30 O 0.0209 0.0175 0.7266 (multiplicity 1)  1 P 1.56
31 O 0.0241 0.0152 0.3186 (multiplicity 1)  1 P 1.55
32 O 0.0255 0.5162 0.8778 (multiplicity 1)  1 P 1.55
33 O 0.0310 0.5172 0.2710 (multiplicity 1)  1 P 1.56
34 O 0.0549 0.1815 0.5477 (multiplicity 1)  1 P 1.56
35 O 0.0681 0.2523 0.7713 (multiplicity 1)  1 P 1.55
36 O 0.1206 0.7805 0.5977 (multiplicity 1)  1 P 1.55
37 O 0.1279 0.3002 0.3153 (multiplicity 1)  1 P 1.55
38 O 0.1829 0.6974 0.8901 (multiplicity 1)  1 P 1.54
39 O 0.1903 0.4208 0.1141 (multiplicity 1)  1 P 1.55
40 O 0.2195 0.1741 0.9938 (multiplicity 1)  1 W 1.81
41 O 0.2471 0.9713 0.5102 (multiplicity 1)  1 P 1.55
42 O 0.2653 0.5054 0.3271 (multiplicity 1)  1 P 1.57
43 O 0.2746 0.0527 0.2354 (multiplicity 1)  1 W 1.81
44 O 0.2945 0.4014 0.8405 (multiplicity 1)  1 P 1.55
45 O 0.3022 0.9185 0.9900 (multiplicity 1)  1 W 1.81
46 O 0.3252 0.7451 0.4802 (multiplicity 1)  1 P 1.55
47 O 0.3361 0.8519 0.6980 (multiplicity 1)  1 P 1.56
48 O 0.3376 0.4921 0.6221 (multiplicity 1)  1 P 1.56
49 O 0.3593 0.2141 0.4539 (multiplicity 1)  1 P 1.55
50 O 0.4164 0.6818 0.0598 (multiplicity 1)  1 W 1.81
51 O 0.4459 0.5932 0.8153 (multiplicity 1)  1 P 1.55
52 O 0.4880 0.1423 0.0499 (multiplicity 1)  1 W 1.83
53 O 0.5135 0.3753 0.7454 (multiplicity 1)  1 P 1.54
54 O 0.5127 0.6722 0.3066 (multiplicity 1)  1 W 1.79
55 O 0.5172 0.4001 0.4174 (multiplicity 1)  1 P 1.56
56 O 0.5239 0.9240 0.1825 (multiplicity 1)  1 W 1.84
57 O 0.5459 0.8422 0.9019 (multiplicity 1)  1 W 1.81
58 O 0.5528 0.1856 0.3107 (multiplicity 1)  1 P 1.56
59 O 0.5808 0.0997 0.7811 (multiplicity 1)  1 W 1.81
60 O 0.5826 0.6370 0.5486 (multiplicity 1)  1 W 1.81
61 O 0.5863 0.2022 0.5436 (multiplicity 1)  1 P 1.55
62 O 0.7028 0.7051 0.1086 (multiplicity 1)  1 W 1.82
63 O 0.7422 0.2567 0.1247 (multiplicity 1)  1 P 1.56
64 O 0.7432 0.3291 0.8930 (multiplicity 1)  1 P 1.55
65 O 0.7456 0.0128 0.9991 (multiplicity 1)  1 W 1.81
66 O 0.7598 0.8918 0.7374 (multiplicity 1)  1 W 1.80
67 O 0.7614 0.4161 0.5975 (multiplicity 1)  1 W 1.82
68 O 0.7725 0.5463 0.3444 (multiplicity 1)  1 W 1.82
69 O 0.7830 0.0062 0.2851 (multiplicity 1)  1 P 1.57
70 O 0.8187 0.4757 0.0683 (multiplicity 1)  1 P 1.55
71 O 0.8501 0.1810 0.6785 (multiplicity 1)  1 P 1.55
72 O 0.8572 0.6679 0.5818 (multiplicity 1)  1 W 1.80
73 O 0.8751 0.9201 0.4866 (multiplicity 1)  1 P 1.55
74 O 0.9152 0.8000 0.2800 (multiplicity 1)  1 P 1.55
75 O 0.9526 0.2787 0.0125 (multiplicity 1)  1 P 1.55
76 O 0.9533 0.7416 0.8254 (multiplicity 1)  1 P 1.55